Version i
ScCuSnAu: optimized geometry, PBE-GGA.

```
ScCuSnAu
1.0
-3.527 -2.854 1.292
-3.743 -0.550 -2.818
-0.673 -4.088 -2.256
Au Cu Sc Sn
1 1 1 1
Direct
0.500 0.500 0.500
0.750 0.750 0.750
0.250 0.250 0.250
0.000 0.000 0.000
```

Version ii
ScCuSnAu: optimized geometry, PBE-GGA.

```
ScCuSnAu
1.0
0.000 3.330 3.330
3.330 0.000 3.330
3.330 3.330 0.000
Au Cu Sc Sn
1 1 1 1
Direct
0.250 0.250 0.250
0.750 0.750 0.750
0.500 0.500 0.500
0.000 0.000 0.000
```

version ii is favored, and the nearest alternative lies 5.4 kJ/mol of atoms above it.

Version i
TaCuSiAu: optimized geometry, PBE-GGA.

```
TaCuSiAu
1.0
3.225 -1.798 2.507
-0.974 -1.688 4.015
0.120 -4.413 0.654
Au Cu Si Ta
1 1 1 1
Direct
0.500 0.500 0.500
0.750 0.750 0.750
0.000 0.000 0.000
0.250 0.250 0.250
```

Version ii
TaCuSiAu: optimized geometry, PBE-GGA.

```
TaCuSiAu
1.0
3.074 -3.021 1.211
1.404 -0.186 4.247
-1.162 -3.460 2.592
Au Cu Si Ta
1 1 1 1
Direct
0.250 0.250 0.250
0.750 0.750 0.750
0.000 0.000 0.000
0.500 0.500 0.500
```

version i is favored, and the nearest alternative lies 26.8 kJ/mol of atoms above it.